BeTe | GGA-PBEsol | relaxed

CIF file:
```
data_BeTe
_chemical_formula_sum 'Be2 Te2'
_cell_length_a 3.953
_cell_length_b 3.953
_cell_length_c 6.525
_cell_angle_alpha 90.00
_cell_angle_beta 90.00
_cell_angle_gamma 120.00
_symmetry_space_group_name_H-M 'P 1'
_symmetry_Int_Tables_number 1
_symmetry_space_group_name_Hall 'P 1'
loop_
_atom_site_label
_atom_site_type_symbol
_atom_site_fract_x
_atom_site_fract_y
_atom_site_fract_z
Te1 Te 0.667 0.333 0.628
Te2 Te 0.333 0.667 0.128
Be1 Be 0.333 0.667 0.501
Be2 Be 0.667 0.333 0.001
```

The uncorrected formation energy is -32.9 kJ/mol of atoms. The value obtained for the excess energy over the best structure of this formula in the dataset is 0.004 eV/atom. Its total moment is 0.0 μB per cell. The calculated total energy is -4.1039 eV per atom.